# MnZnSi2O6 (GGA+U, optimized geometry)
data_MnZnSi2O6
_chemical_formula_sum 'Mn8 Zn8 Si16 O48'
_cell_length_a 5.3324
_cell_length_b 18.7710
_cell_length_c 9.1497
_cell_angle_alpha 90.00
_cell_angle_beta 90.00
_cell_angle_gamma 90.00
_symmetry_space_group_name_H-M 'P 1'
_symmetry_Int_Tables_number 1
loop_
_symmetry_equiv_pos_as_xyz
'x,y,z'
loop_
_atom_site_label
_atom_site_type_symbol
_atom_site_fract_x
_atom_site_fract_y
_atom_site_fract_z
Mn1 Mn 0.1191 0.1231 0.0156
Mn2 Mn 0.1191 0.3769 0.5156
Mn3 Mn 0.3809 0.6231 0.0156
Mn4 Mn 0.3809 0.8769 0.5156
Mn5 Mn 0.6191 0.1231 0.4844
Mn6 Mn 0.6191 0.3769 0.9844
Mn7 Mn 0.8809 0.6231 0.4844
Mn8 Mn 0.8809 0.8769 0.9844
Zn1 Zn 0.1139 0.1253 0.6483
Zn2 Zn 0.1139 0.3747 0.1483
Zn3 Zn 0.3861 0.6253 0.6483
Zn4 Zn 0.3861 0.8747 0.1483
Zn5 Zn 0.6139 0.1253 0.8517
Zn6 Zn 0.6139 0.3747 0.3517
Zn7 Zn 0.8861 0.6253 0.8517
Zn8 Zn 0.8861 0.8747 0.3517
Si1 Si 0.0624 0.7295 0.1613
Si2 Si 0.0624 0.7705 0.6613
Si3 Si 0.2048 0.0243 0.3363
Si4 Si 0.2048 0.4757 0.8363
Si5 Si 0.2952 0.5243 0.3363
Si6 Si 0.2952 0.9757 0.8363
Si7 Si 0.4376 0.2295 0.1613
Si8 Si 0.4376 0.2705 0.6613
Si9 Si 0.5624 0.7295 0.3387
Si10 Si 0.5624 0.7705 0.8387
Si11 Si 0.7048 0.0243 0.1637
Si12 Si 0.7048 0.4757 0.6637
Si13 Si 0.7952 0.5243 0.1637
Si14 Si 0.7952 0.9757 0.6637
Si15 Si 0.9376 0.2295 0.3387
Si16 Si 0.9376 0.2705 0.8387
O1 O 0.0571 0.6833 0.6628
O2 O 0.0571 0.8167 0.1628
O3 O 0.0654 0.6917 0.0028
O4 O 0.0654 0.8083 0.5028
O5 O 0.0841 0.5509 0.2107
O6 O 0.0841 0.9491 0.7107
O7 O 0.1692 0.1994 0.2342
O8 O 0.1692 0.3006 0.7342
O9 O 0.2074 0.5630 0.8400
O10 O 0.2074 0.9370 0.3400
O11 O 0.2117 0.5642 0.4852
O12 O 0.2117 0.9358 0.9852
O13 O 0.2883 0.0642 0.4852
O14 O 0.2883 0.4358 0.9852
O15 O 0.2926 0.0630 0.8400
O16 O 0.2926 0.4370 0.3400
O17 O 0.3308 0.6994 0.2342
O18 O 0.3308 0.8006 0.7342
O19 O 0.4159 0.0509 0.2107
O20 O 0.4159 0.4491 0.7107
O21 O 0.4346 0.1917 0.0028
O22 O 0.4346 0.3083 0.5028
O23 O 0.4429 0.1833 0.6628
O24 O 0.4429 0.3167 0.1628
O25 O 0.5571 0.6833 0.8372
O26 O 0.5571 0.8167 0.3372
O27 O 0.5654 0.6917 0.4972
O28 O 0.5654 0.8083 0.9972
O29 O 0.5841 0.5509 0.2893
O30 O 0.5841 0.9491 0.7893
O31 O 0.6692 0.1994 0.2658
O32 O 0.6692 0.3006 0.7658
O33 O 0.7074 0.5630 0.6600
O34 O 0.7074 0.9370 0.1600
O35 O 0.7117 0.5642 0.0148
O36 O 0.7117 0.9358 0.5148
O37 O 0.7883 0.0642 0.0148
O38 O 0.7883 0.4358 0.5148
O39 O 0.7926 0.0630 0.6600
O40 O 0.7926 0.4370 0.1600
O41 O 0.8308 0.6994 0.2658
O42 O 0.8308 0.8006 0.7658
O43 O 0.9159 0.0509 0.2893
O44 O 0.9159 0.4491 0.7893
O45 O 0.9346 0.1917 0.4972
O46 O 0.9346 0.3083 0.9972
O47 O 0.9429 0.1833 0.8372
O48 O 0.9429 0.3167 0.3372
# V = 916 Å³ per cell
# electronic total energy = -0.2653 hartree per atom
# N(E_F) = 0.000 states/eV/f.u.